Below is crystalline HgPb2Br at its relaxed geometry, with properties calculated at the GGA-PBE level.

```
HgPb2Br
1.0
1.989 1.149 8.986
-1.989 1.149 8.986
0.000 -2.297 8.986
Hg Pb Br
1 2 1
direct
0.000 0.000 0.000
0.254 0.254 0.254
0.746 0.746 0.746
0.500 0.500 0.500
```

Values from the calculation:
Symmetry: R-3m, No. 166
Density of states at the Fermi level in states/eV/atom: 0.445
Final energy in eV per cell: -10.018

---

Below is crystalline Pm4GeAsSe2 at its relaxed geometry, with properties calculated at the GGA-PBE level.

```
Pm4GeAsSe2
1.0
7.334 0.000 0.000
0.000 4.237 0.000
-2.440 0.000 6.929
Pm Ge As Se
4 1 1 2
direct
0.245 0.000 0.240
0.252 0.500 0.761
0.748 0.500 0.239
0.755 0.000 0.760
0.000 0.500 0.000
0.500 0.000 0.000
0.000 0.000 0.500
0.500 0.500 0.500
```

Values from the calculation:
Symmetry: P2/m, No. 10
Density of states at the Fermi level in states/eV/atom: 0.183
Final energy in eV per cell: -47.983

---

Below is crystalline Tl2OsPd at its relaxed geometry, with properties calculated at the GGA-PBE level.

```
Tl2OsPd
1.0
-2.125 2.125 9.478
2.125 -2.125 9.478
2.125 2.125 -9.478
Tl Os Pd
4 2 2
direct
0.120 0.625 0.995
0.375 0.370 0.495
0.630 0.125 0.005
0.875 0.880 0.505
0.000 0.000 0.000
0.750 0.250 0.500
0.250 0.750 0.500
0.500 0.500 0.000
```

Values from the calculation:
Symmetry: I-42d, No. 122
ΔH_f (0 K) in eV per atom: 0.91
Density of states at the Fermi level in states/eV/atom: 0.691
Final energy in eV per cell: -35.035

---

Below is crystalline SmCd2Sn2 at its relaxed geometry, with properties calculated at the GGA-PBE level.

```
SmCd2Sn2
1.0
2.234 -12.382 0.000
2.234 12.382 0.000
0.000 0.000 4.503
Sm Cd Sn
2 4 4
direct
0.149 0.851 0.750
0.851 0.149 0.250
0.043 0.957 0.250
0.455 0.545 0.250
0.545 0.455 0.750
0.957 0.043 0.750
0.250 0.750 0.250
0.368 0.632 0.750
0.632 0.368 0.250
0.750 0.250 0.750
```

Values from the calculation:
Symmetry: Cmcm, No. 63
ΔH_f (0 K) in eV per atom: -0.39
Density of states at the Fermi level in states/eV/atom: 0.449
Final energy in eV per cell: -33.015